(1)
La2CuSn4Pd3 | PBE | optimized geometry

The structure belongs to space group P-4m2 (No. 115); the cell edges are 4.5988, 4.5988 and 10.8635 Å and the angles 90.00°, 90.00° and 90.00°. The distinct sites, in fractional coordinates, are La at (0.0000, 0.5000, 0.2385), Cu at (0.5000, 0.5000, 0.0000), Sn at (0.0000, 0.0000, 0.5000), Sn at (0.0000, 0.5000, 0.8743), Sn at (0.5000, 0.5000, 0.5000), Pd at (0.0000, 0.0000, 0.0000) and Pd at (0.0000, 0.5000, 0.6319).

=====

(2)
La2CuSn3Pd4 | PBE | optimized geometry

The structure belongs to space group P-4m2 (No. 115); the cell edges are 4.6067, 4.6067 and 10.4943 Å and the angles 90.00°, 90.00° and 90.00°. The distinct sites, in fractional coordinates, are La at (0.0000, 0.5000, 0.2416), Cu at (0.5000, 0.5000, 0.0000), Sn at (0.0000, 0.0000, 0.0000), Sn at (0.0000, 0.5000, 0.6294), Pd at (0.0000, 0.0000, 0.5000), Pd at (0.0000, 0.5000, 0.8778) and Pd at (0.5000, 0.5000, 0.5000).

=====

(3)
LaCuSn4Pd2 | PBE | optimized geometry

The structure belongs to space group R-3m (No. 166, hexagonal axes); the cell edges are 4.7491, 4.7491 and 27.3051 Å and the angles 90.00°, 90.00° and 120.00°. The distinct sites, in fractional coordinates, are La at (0.0000, 0.0000, 0.0000), Cu at (0.0000, 0.0000, 0.5000), Sn at (0.0000, 0.0000, 0.1314), Sn at (0.0000, 0.0000, 0.3991) and Pd at (0.0000, 0.0000, 0.2425).

=====

(4)
LaTbCuPd | PBE | optimized geometry

The structure belongs to space group Amm2 (No. 38); the cell edges are 4.6414, 3.8504 and 10.7657 Å and the angles 90.00°, 90.00° and 90.00°. The distinct sites, in fractional coordinates, are La at (0.0000, 0.0000, 0.0000), Tb at (0.5000, 0.0000, 0.2750), Cu at (0.5000, 0.0000, 0.5647) and Pd at (0.0000, 0.0000, 0.7193).

=====

(5)
LaTbCuPd | PBE | optimized geometry

The structure belongs to space group F-43m (No. 216); the cell edges are 7.1974, 7.1974 and 7.1974 Å and the angles 90.00°, 90.00° and 90.00°. The distinct sites, in fractional coordinates, are La at (0.0000, 0.0000, 0.0000), Tb at (0.0000, 0.0000, 0.5000), Cu at (0.2500, 0.2500, 0.2500) and Pd at (0.2500, 0.2500, 0.7500).

=====

(6)
LaCu2TcPd | PBE | optimized geometry

The structure belongs to space group P4/mmm (No. 123); the cell edges are 4.7309, 4.7309 and 4.8079 Å and the angles 90.00°, 90.00° and 90.00°. The distinct sites, in fractional coordinates, are La at (0.0000, 0.0000, 0.0000), Cu at (0.0000, 0.5000, 0.5000), Tc at (0.5000, 0.5000, 0.5000) and Pd at (0.5000, 0.5000, 0.0000).

=====

Number 1: final energy -5.289 eV/atom. Number 2: final energy -5.396 eV/atom. Number 3: final energy -4.847 eV/atom. Number 4: final energy -5.237 eV/atom. Number 5: final energy -5.194 eV/atom. Number 6: final energy -5.328 eV/atom.